(1)
# BaIn4Os | Alexandria via LeMat-Bulk | GGA-PBE | optimized geometry
data_BaIn4Os
_chemical_formula_sum 'Ba4 In16 Os4'
_symmetry_space_group_name_H-M 'F -4 3 m'
_symmetry_Int_Tables_number 216
_symmetry_space_group_name_Hall 'F -4 2 3'
_cell_length_a 8.553
_cell_length_b 8.553
_cell_length_c 8.553
_cell_angle_alpha 90.00
_cell_angle_beta 90.00
_cell_angle_gamma 90.00
loop_
_atom_site_label
_atom_site_type_symbol
_atom_site_fract_x
_atom_site_fract_y
_atom_site_fract_z
_atom_site_occupancy
Ba1 Ba 0.000 0.000 0.000 1
In1 In 0.124 0.124 0.624 1
Os1 Os 0.250 0.250 0.250 1
# N(E_F) in states/eV/f.u.: 3.95
# VASP energy in eV/atom: -3.50
# Calculated volume in A^3/atom: 26.1
# ΔE_f in eV/atom: 0.52

---

(2)
# LiTaCu2 | Alexandria via LeMat-Bulk | GGA-PBE | optimized geometry
data_LiTaCu2
_chemical_formula_sum 'Li4 Ta4 Cu8'
_symmetry_space_group_name_H-M 'I -4 2 d'
_symmetry_Int_Tables_number 122
_symmetry_space_group_name_Hall 'I -4 2bw'
_cell_length_a 6.648
_cell_length_b 6.648
_cell_length_c 5.177
_cell_angle_alpha 90.00
_cell_angle_beta 90.00
_cell_angle_gamma 90.00
loop_
_atom_site_label
_atom_site_type_symbol
_atom_site_fract_x
_atom_site_fract_y
_atom_site_fract_z
_atom_site_occupancy
Li1 Li 0.000 0.000 0.000 1
Ta1 Ta 0.000 0.000 0.500 1
Cu1 Cu 0.215 0.750 0.125 1
# N(E_F) in states/eV/f.u.: 3.29
# VASP energy in eV/atom: -4.87
# Calculated volume in A^3/atom: 14.3
# ΔE_f in eV/atom: 0.62

---

(3)
# Nb2RuPt2 | Alexandria via LeMat-Bulk | GGA-PBE | optimized geometry
data_Nb2RuPt2
_chemical_formula_sum 'Nb4 Ru2 Pt4'
_symmetry_space_group_name_H-M 'C m m m'
_symmetry_Int_Tables_number 65
_symmetry_space_group_name_Hall '-C 2 2'
_cell_length_a 4.158
_cell_length_b 14.163
_cell_length_c 2.787
_cell_angle_alpha 90.00
_cell_angle_beta 90.00
_cell_angle_gamma 90.00
loop_
_atom_site_label
_atom_site_type_symbol
_atom_site_fract_x
_atom_site_fract_y
_atom_site_fract_z
_atom_site_occupancy
Nb1 Nb 0.000 0.107 0.000 1
Ru1 Ru 0.000 0.500 0.500 1
Pt1 Pt 0.000 0.309 0.500 1
# N(E_F) in states/eV/f.u.: 5.48
# VASP energy in eV/atom: -8.65
# Calculated volume in A^3/atom: 16.4
# ΔE_f in eV/atom: -0.36

---

(4)
# Pm3Pr2Ir2 | Alexandria via LeMat-Bulk | GGA-PBE | optimized geometry
data_Pm3Pr2Ir2
_chemical_formula_sum 'Pm6 Pr4 Ir4'
_symmetry_space_group_name_H-M 'C 1 2/m 1'
_symmetry_Int_Tables_number 12
_cell_length_a 12.498
_cell_length_b 3.932
_cell_length_c 9.215
_cell_angle_alpha 90.00
_cell_angle_beta 116.20
_cell_angle_gamma 90.00
loop_
_symmetry_equiv_pos_as_xyz
'x,y,z'
'-x,-y,-z'
'-x,y,-z'
'x,-y,z'
'x+1/2,y+1/2,z'
'-x+1/2,-y+1/2,-z'
'-x+1/2,y+1/2,-z'
'x+1/2,-y+1/2,z'
loop_
_atom_site_label
_atom_site_type_symbol
_atom_site_fract_x
_atom_site_fract_y
_atom_site_fract_z
_atom_site_occupancy
Pm1 Pm 0.000 0.000 0.000 1
Pm2 Pm 0.118 0.000 0.428 1
Pr1 Pr 0.168 0.500 0.808 1
Ir1 Ir 0.176 0.500 0.242 1
# N(E_F) in states/eV/f.u.: 7.54
# VASP energy in eV/atom: -6.43
# Calculated volume in A^3/atom: 29.0
# ΔE_f in eV/atom: -0.50

---

(5)
# DyPaNiPd | Alexandria via LeMat-Bulk | GGA-PBE | optimized geometry
data_DyPaNiPd
_chemical_formula_sum 'Dy4 Pa4 Ni4 Pd4'
_symmetry_space_group_name_H-M 'F -4 3 m'
_symmetry_Int_Tables_number 216
_symmetry_space_group_name_Hall 'F -4 2 3'
_cell_length_a 6.906
_cell_length_b 6.906
_cell_length_c 6.906
_cell_angle_alpha 90.00
_cell_angle_beta 90.00
_cell_angle_gamma 90.00
loop_
_atom_site_label
_atom_site_type_symbol
_atom_site_fract_x
_atom_site_fract_y
_atom_site_fract_z
_atom_site_occupancy
Dy1 Dy 0.000 0.000 0.000 1
Pa1 Pa 0.000 0.000 0.500 1
Ni1 Ni 0.250 0.250 0.250 1
Pd1 Pd 0.250 0.250 0.750 1
# N(E_F) in states/eV/f.u.: 6.25
# VASP energy in eV/atom: -6.62
# Calculated volume in A^3/atom: 20.6
# ΔE_f in eV/atom: -0.36

---

(6)
# CaTa2TiHg | Alexandria via LeMat-Bulk | GGA-PBE | optimized geometry
data_CaTa2TiHg
_chemical_formula_sum 'Ca1 Ta2 Ti1 Hg1'
_symmetry_space_group_name_H-M 'P 4/m m m'
_symmetry_Int_Tables_number 123
_symmetry_space_group_name_Hall '-P 4 2'
_cell_length_a 4.880
_cell_length_b 4.880
_cell_length_c 4.503
_cell_angle_alpha 90.00
_cell_angle_beta 90.00
_cell_angle_gamma 90.00
loop_
_atom_site_label
_atom_site_type_symbol
_atom_site_fract_x
_atom_site_fract_y
_atom_site_fract_z
_atom_site_occupancy
Ca1 Ca 0.000 0.000 0.000 1
Ta1 Ta 0.000 0.500 0.000 1
Ti1 Ti 0.000 0.000 0.500 1
Hg1 Hg 0.500 0.500 0.500 1
# N(E_F) in states/eV/f.u.: 9.08
# VASP energy in eV/atom: -4.57
# Calculated volume in A^3/atom: 21.4
# ΔE_f in eV/atom: 2.22

---

(7)
# AcPr2Ga2Cu2 | Alexandria via LeMat-Bulk | GGA-PBE | optimized geometry
data_AcPr2Ga2Cu2
_chemical_formula_sum 'Ac3 Pr6 Ga6 Cu6'
_symmetry_space_group_name_H-M 'R -3 m'
_symmetry_Int_Tables_number 166
_symmetry_space_group_name_Hall '-R 3 2"'
_cell_length_a 4.5456
_cell_length_b 4.5456
_cell_length_c 29.2826
_cell_angle_alpha 90.00
_cell_angle_beta 90.00
_cell_angle_gamma 120.00
loop_
_atom_site_label
_atom_site_type_symbol
_atom_site_fract_x
_atom_site_fract_y
_atom_site_fract_z
_atom_site_occupancy
Ac1 Ac 0.0000 0.0000 0.0000 1
Pr1 Pr 0.0000 0.0000 0.1262 1
Ga1 Ga 0.0000 0.0000 0.2579 1
Cu1 Cu 0.0000 0.0000 0.4052 1
# N(E_F) in states/eV/f.u.: 5.30
# VASP energy in eV/atom: -4.34
# Calculated volume in A^3/atom: 25.0
# ΔE_f in eV/atom: -0.36

---

(8)
# TlCu2SnGe | Alexandria via LeMat-Bulk | GGA-PBE | optimized geometry
data_TlCu2SnGe
_chemical_formula_sum 'Tl1 Cu2 Sn1 Ge1'
_symmetry_space_group_name_H-M 'P 4/m m m'
_symmetry_Int_Tables_number 123
_symmetry_space_group_name_Hall '-P 4 2'
_cell_length_a 4.828
_cell_length_b 4.828
_cell_length_c 5.864
_cell_angle_alpha 90.00
_cell_angle_beta 90.00
_cell_angle_gamma 90.00
loop_
_atom_site_label
_atom_site_type_symbol
_atom_site_fract_x
_atom_site_fract_y
_atom_site_fract_z
_atom_site_occupancy
Tl1 Tl 0.000 0.000 0.000 1
Cu1 Cu 0.000 0.500 0.500 1
Sn1 Sn 0.000 0.000 0.500 1
Ge1 Ge 0.500 0.500 0.000 1
# N(E_F) in states/eV/f.u.: 3.09
# VASP energy in eV/atom: -3.03
# Calculated volume in A^3/atom: 27.3
# ΔE_f in eV/atom: 0.81

---

(9)
# Pm2Y5TmSc | Alexandria via LeMat-Bulk | GGA-PBE | optimized geometry
data_Pm2Y5TmSc
_chemical_formula_sum 'Pm8 Y20 Tm4 Sc4'
_symmetry_space_group_name_H-M 'C m c 21'
_symmetry_Int_Tables_number 36
_cell_length_a 5.537
_cell_length_b 20.361
_cell_length_c 10.297
_cell_angle_alpha 90.00
_cell_angle_beta 90.00
_cell_angle_gamma 90.00
loop_
_symmetry_equiv_pos_as_xyz
'x,y,z'
'-x,-y,z+1/2'
'-x,y,z'
'x,-y,z+1/2'
'x+1/2,y+1/2,z'
'-x+1/2,-y+1/2,z+1/2'
'-x+1/2,y+1/2,z'
'x+1/2,-y+1/2,z+1/2'
loop_
_atom_site_label
_atom_site_type_symbol
_atom_site_fract_x
_atom_site_fract_y
_atom_site_fract_z
_atom_site_occupancy
Pm1 Pm 0.000 0.111 0.000 1
Pm2 Pm 0.000 0.117 0.421 1
Y1 Y 0.000 0.016 0.700 1
Y2 Y 0.000 0.268 0.021 1
Y3 Y 0.000 0.300 0.385 1
Y4 Y 0.000 0.366 0.708 1
Y5 Y 0.000 0.483 0.425 1
Tm1 Tm 0.000 0.405 0.138 1
Sc1 Sc 0.000 0.190 0.705 1
# N(E_F) in states/eV/f.u.: 14.07
# VASP energy in eV/atom: -5.70
# Calculated volume in A^3/atom: 32.2
# ΔE_f in eV/atom: 0.15

---

(10)
# ErGaTc | Alexandria via LeMat-Bulk | GGA-PBE | optimized geometry
data_ErGaTc
_chemical_formula_sum 'Er2 Ga2 Tc2'
_symmetry_space_group_name_H-M 'I 4 m m'
_symmetry_Int_Tables_number 107
_symmetry_space_group_name_Hall 'I 4 -2'
_cell_length_a 3.435
_cell_length_b 3.435
_cell_length_c 9.534
_cell_angle_alpha 90.00
_cell_angle_beta 90.00
_cell_angle_gamma 90.00
loop_
_atom_site_label
_atom_site_type_symbol
_atom_site_fract_x
_atom_site_fract_y
_atom_site_fract_z
_atom_site_occupancy
Er1 Er 0.000 0.000 0.000 1
Ga1 Ga 0.000 0.000 0.701 1
Tc1 Tc 0.000 0.000 0.311 1
# N(E_F) in states/eV/f.u.: 2.78
# VASP energy in eV/atom: -6.26
# Calculated volume in A^3/atom: 18.8
# ΔE_f in eV/atom: -0.28

---

(11)
# PmTmS2 | Alexandria via LeMat-Bulk | GGA-PBE | optimized geometry
data_PmTmS2
_chemical_formula_sum 'Pm2 Tm2 S4'
_symmetry_space_group_name_H-M 'C 1 2/m 1'
_symmetry_Int_Tables_number 12
_cell_length_a 6.751
_cell_length_b 3.912
_cell_length_c 6.925
_cell_angle_alpha 90.00
_cell_angle_beta 109.06
_cell_angle_gamma 90.00
loop_
_symmetry_equiv_pos_as_xyz
'x,y,z'
'-x,-y,-z'
'-x,y,-z'
'x,-y,z'
'x+1/2,y+1/2,z'
'-x+1/2,-y+1/2,-z'
'-x+1/2,y+1/2,-z'
'x+1/2,-y+1/2,z'
loop_
_atom_site_label
_atom_site_type_symbol
_atom_site_fract_x
_atom_site_fract_y
_atom_site_fract_z
_atom_site_occupancy
Pm1 Pm 0.000 0.000 0.000 1
Tm1 Tm 0.000 0.500 0.500 1
S1 S 0.244 0.000 0.731 1
# N(E_F) in states/eV/f.u.: 1.47
# Formation energy (no corrections) in eV per formula unit: -8.0
# VASP energy in eV/atom: -6.36
# Calculated volume in A^3/atom: 21.6

---

(12)
# K2HgRhBr6 | Alexandria via LeMat-Bulk | GGA-PBE | optimized geometry
data_K2HgRhBr6
_chemical_formula_sum 'K6 Hg3 Rh3 Br18'
_symmetry_space_group_name_H-M 'R 3'
_symmetry_Int_Tables_number 146
_symmetry_space_group_name_Hall 'R 3'
_cell_length_a 7.7595
_cell_length_b 7.7595
_cell_length_c 17.9404
_cell_angle_alpha 90.00
_cell_angle_beta 90.00
_cell_angle_gamma 120.00
loop_
_atom_site_label
_atom_site_type_symbol
_atom_site_fract_x
_atom_site_fract_y
_atom_site_fract_z
_atom_site_occupancy
K1 K 0.0000 0.0000 0.0000 1
K2 K 0.0000 0.0000 0.4887 1
Hg1 Hg 0.0000 0.0000 0.7441 1
Rh1 Rh 0.0000 0.0000 0.2441 1
Br1 Br 0.0323 0.4458 0.9916 1
Br2 Br 0.1129 0.7469 0.8296 1
# N(E_F) in states/eV/f.u.: 3.54
# Formation energy (no corrections) in eV per formula unit: -8.8
# VASP energy in eV/atom: -2.87
# Calculated volume in A^3/atom: 31.2

---

Look up the VASP energy of the third one. -8.65 eV/atom

---

What is the calculated volume in the first record? 26.1 A^3/atom

---

Please write out number 10 again, unchanged.
# ErGaTc | Alexandria via LeMat-Bulk | GGA-PBE | optimized geometry
data_ErGaTc
_chemical_formula_sum 'Er2 Ga2 Tc2'
_symmetry_space_group_name_H-M 'I 4 m m'
_symmetry_Int_Tables_number 107
_symmetry_space_group_name_Hall 'I 4 -2'
_cell_length_a 3.435
_cell_length_b 3.435
_cell_length_c 9.534
_cell_angle_alpha 90.00
_cell_angle_beta 90.00
_cell_angle_gamma 90.00
loop_
_atom_site_label
_atom_site_type_symbol
_atom_site_fract_x
_atom_site_fract_y
_atom_site_fract_z
_atom_site_occupancy
Er1 Er 0.000 0.000 0.000 1
Ga1 Ga 0.000 0.000 0.701 1
Tc1 Tc 0.000 0.000 0.311 1
# N(E_F) in states/eV/f.u.: 2.78
# VASP energy in eV/atom: -6.26
# Calculated volume in A^3/atom: 18.8
# ΔE_f in eV/atom: -0.28